Version i
# GGA-PBE Dy2Te2Se, optimized geometry
# - spin magnetization (μB per cell) = 0.0
data_Dy2Te2Se
_chemical_formula_sum 'Dy8 Te8 Se4'
_cell_length_a 8.586
_cell_length_b 6.212
_cell_length_c 12.541
_cell_angle_alpha 90.00
_cell_angle_beta 90.00
_cell_angle_gamma 90.00
_space_group_name_H-M_alt 'P n m a'
_space_group_IT_number 62
loop_
_space_group_symop_operation_xyz
'x,y,z'
'-x,-y,-z'
'-x+1/2,-y,z+1/2'
'x+1/2,y,-z+1/2'
'x+1/2,-y+1/2,-z+1/2'
'-x+1/2,y+1/2,z+1/2'
'-x,y+1/2,-z'
'x,-y+1/2,z'
loop_
_atom_site_label
_atom_site_type_symbol
_atom_site_fract_x
_atom_site_fract_y
_atom_site_fract_z
Dy1 Dy 0.082 0.250 0.239
Dy2 Dy 0.155 0.250 0.577
Te1 Te 0.071 0.750 0.226
Te2 Te 0.148 0.750 0.569
Se1 Se 0.183 0.750 0.893

---

Version ii
# GGA-PBE Dy2Te2Se, optimized geometry
# - spin magnetization (μB per cell) = 0.0
data_Dy2Te2Se
_chemical_formula_sum 'Dy8 Te8 Se4'
_cell_length_a 13.286
_cell_length_b 8.184
_cell_length_c 6.532
_cell_angle_alpha 90.00
_cell_angle_beta 119.32
_cell_angle_gamma 90.00
_space_group_name_H-M_alt 'C 1 2/c 1'
_space_group_IT_number 15
loop_
_space_group_symop_operation_xyz
'x,y,z'
'-x,-y,-z'
'-x,y,-z+1/2'
'x,-y,z+1/2'
'x+1/2,y+1/2,z'
'-x+1/2,-y+1/2,-z'
'-x+1/2,y+1/2,-z+1/2'
'x+1/2,-y+1/2,z+1/2'
loop_
_atom_site_label
_atom_site_type_symbol
_atom_site_fract_x
_atom_site_fract_y
_atom_site_fract_z
Dy1 Dy 0.102 0.243 0.102
Te1 Te 0.148 0.375 0.648
Se1 Se 0.000 0.000 0.250

---

Winner for stability: version ii

---

Version i
# GGA-PBE Dy5TeSe4, optimized geometry
# - spin magnetization (μB per cell) = 0.0
data_Dy5TeSe4
_chemical_formula_sum 'Dy10 Te2 Se8'
_cell_length_a 13.781
_cell_length_b 4.115
_cell_length_c 10.132
_cell_angle_alpha 90.00
_cell_angle_beta 119.75
_cell_angle_gamma 90.00
_space_group_name_H-M_alt 'C 1 2/m 1'
_space_group_IT_number 12
loop_
_space_group_symop_operation_xyz
'x,y,z'
'-x,-y,-z'
'-x,y,-z'
'x,-y,z'
'x+1/2,y+1/2,z'
'-x+1/2,-y+1/2,-z'
'-x+1/2,y+1/2,-z'
'x+1/2,-y+1/2,z'
loop_
_atom_site_label
_atom_site_type_symbol
_atom_site_fract_x
_atom_site_fract_y
_atom_site_fract_z
Dy1 Dy 0.000 0.000 0.000
Dy2 Dy 0.113 0.500 0.393
Dy3 Dy 0.209 0.000 0.816
Te1 Te 0.000 0.000 0.500
Se1 Se 0.094 0.500 0.892
Se2 Se 0.204 0.000 0.293

---

Version ii
# GGA-PBE Dy5TeSe4, optimized geometry
# - spin magnetization (μB per cell) = 0.0
data_Dy5TeSe4
_chemical_formula_sum 'Dy10 Te2 Se8'
_cell_length_a 4.135
_cell_length_b 4.135
_cell_length_c 29.286
_cell_angle_alpha 90.00
_cell_angle_beta 90.00
_cell_angle_gamma 90.00
_space_group_name_H-M_alt 'I 4/m m m'
_space_group_IT_number 139
_space_group_name_Hall '-I 4 2'
loop_
_atom_site_label
_atom_site_type_symbol
_atom_site_fract_x
_atom_site_fract_y
_atom_site_fract_z
Dy1 Dy 0.000 0.000 0.000
Dy2 Dy 0.000 0.000 0.197
Dy3 Dy 0.000 0.000 0.394
Te1 Te 0.000 0.000 0.500
Se1 Se 0.000 0.000 0.099
Se2 Se 0.000 0.000 0.296

---

Winner for stability: version i